(1)
ZnTcCl2 (GGA-PBE, optimized geometry); mass density = 5.05 g cm⁻³; formation energy (no corrections) = -0.249 eV/atom; size of the total moment = 0.00 μB/f.u.
1.0
-5.657 -6.392 1.268
-3.660 -6.832 3.795
-6.071 -4.660 3.987
Zn Tc Cl
1 1 2
Cartesian
-11.576 -13.454 6.808 Zn
-7.717 -8.969 4.539 Tc
-0.350 -0.407 0.206 Cl
-3.437 -3.995 2.021 Cl

(2)
Ba4AsHI2 (GGA-PBE, optimized geometry); mass density = 4.67 g cm⁻³; calculated total energy = -27.5 eV per formula unit; size of the total moment = 0.86 μB/f.u.
1.0
-4.466 -0.732 -1.384
-0.844 -5.551 5.661
-2.317 7.643 3.431
Ba As H I
4 1 1 2
Cartesian
-2.931 -0.069 1.402 Ba
-4.696 1.429 6.306 Ba
-2.065 4.704 4.173 Ba
-1.096 -2.612 4.919 Ba
-2.655 -3.142 2.138 As
0.000 0.000 0.000 H
-3.392 3.455 1.023 I
-1.581 1.046 4.546 I

(3)
Rb3Cr5N12 (GGA-PBE, optimized geometry); mass density = 4.08 g cm⁻³; formation energy (no corrections) = 0.286 eV/atom; size of the total moment = 1.80 μB/f.u.
1.0
11.315 0.000 0.000
-3.772 10.668 0.000
-3.772 -5.334 9.239
Rb Cr N
12 20 48
Cartesian
6.600 3.334 1.155 Rb
6.600 7.334 1.155 Rb
-0.943 4.667 5.774 Rb
0.943 -0.667 3.465 Rb
8.486 0.000 2.310 Rb
0.943 5.334 2.310 Rb
2.829 0.000 6.929 Rb
-4.715 5.334 6.929 Rb
2.829 6.001 5.774 Rb
4.715 0.667 3.465 Rb
-2.829 -2.000 8.084 Rb
-2.829 2.000 8.084 Rb
-0.943 2.667 2.310 Cr
-1.886 5.334 0.000 Cr
0.000 0.000 0.000 Cr
2.829 2.000 1.155 Cr
3.772 -2.667 4.619 Cr
3.772 5.334 0.000 Cr
-2.829 6.001 3.465 Cr
4.715 -3.334 8.084 Cr
4.715 4.667 3.465 Cr
0.943 -2.667 6.929 Cr
2.829 8.001 2.310 Cr
1.886 2.667 4.619 Cr
5.658 0.000 0.000 Cr
-1.886 -2.667 4.619 Cr
-0.943 0.667 5.774 Cr
-0.943 8.668 1.155 Cr
-3.772 2.667 4.619 Cr
6.600 -0.667 5.774 Cr
0.943 3.334 8.084 Cr
4.715 2.667 6.929 Cr
3.480 -4.203 8.966 N
0.292 2.997 3.503 N
-2.484 2.554 3.128 N
4.370 1.236 0.844 N
1.350 3.371 6.384 N
-2.728 5.604 1.764 N
-1.287 6.653 3.971 N
-2.484 9.432 0.844 N
4.307 -3.371 6.384 N
4.614 5.064 1.764 N
5.949 3.469 3.776 N
2.178 4.203 8.966 N
-3.236 4.547 4.347 N
2.930 3.671 0.648 N
-4.064 7.199 3.776 N
2.178 -2.337 5.736 N
-0.535 1.176 1.492 N
2.930 6.727 1.116 N
4.370 8.114 3.128 N
-1.044 3.941 1.116 N
1.350 -4.158 7.747 N
3.173 4.015 3.971 N
5.122 6.121 4.347 N
4.815 -1.663 8.591 N
0.599 1.319 5.268 N
-1.350 -0.787 4.892 N
-1.044 6.997 0.648 N
-0.599 -2.780 6.111 N
2.421 9.492 1.492 N
4.815 1.393 8.123 N
0.842 -1.393 8.123 N
1.594 7.671 3.503 N
4.307 4.158 7.747 N
7.835 -1.865 5.463 N
7.008 0.787 4.892 N
1.594 1.131 0.273 N
0.842 1.663 8.591 N
-0.535 8.705 2.855 N
-0.842 0.270 7.474 N
-2.178 1.865 5.463 N
6.256 -4.098 8.395 N
5.059 -1.319 5.268 N
-0.599 4.098 8.395 N
6.500 -0.270 7.474 N
2.421 1.963 2.855 N
6.256 2.780 6.111 N
3.480 2.337 5.736 N
0.292 9.537 0.273 N

(4)
CaIn9Ni2 (GGA-PBE, optimized geometry); energy of formation from the pure elements = -0.03 eV/atom; mass density = 6.97 g cm⁻³; size of the total moment = 0.00 μB/f.u.
1.0
6.672 0.000 3.072
3.336 8.789 1.536
-0.339 0.000 9.520
Ca In Ni
2 18 4
Cartesian
3.336 0.000 1.536 Ca
3.166 4.395 6.296 Ca
6.503 4.395 7.832 In
0.000 0.000 0.000 In
9.425 8.275 11.089 In
4.206 0.514 4.862 In
4.932 1.737 7.675 In
5.362 7.052 6.740 In
7.643 7.052 8.923 In
1.401 1.737 4.917 In
3.580 8.275 4.574 In
2.127 0.514 7.729 In
6.747 4.909 10.870 In
2.297 3.880 2.970 In
1.231 2.658 9.676 In
4.476 6.132 2.627 In
8.529 6.132 13.036 In
5.102 2.658 2.915 In
6.259 4.909 4.794 In
4.036 3.880 9.622 In
6.418 2.197 10.211 Ni
8.256 6.592 6.220 Ni
6.587 2.197 5.452 Ni
4.750 6.592 9.444 Ni

(5)
Pm2Sn6Ir (GGA-PBE, optimized geometry); energy of formation from the pure elements = -0.34 eV/atom; mass density = 8.02 g cm⁻³; size of the total moment = 0.00 μB/f.u.
1.0
-3.896 -1.399 -0.196
2.426 -6.594 -1.146
-1.124 1.893 8.833
Pm Sn Ir
2 6 1
Cartesian
-0.697 -4.594 2.846 Pm
-1.897 -1.506 4.645 Pm
-3.382 -3.127 1.924 Sn
-0.660 0.964 6.252 Sn
0.788 -2.973 5.567 Sn
-2.438 -0.529 8.435 Sn
-1.934 -7.064 1.239 Sn
-0.156 -5.571 -0.944 Sn
0.000 0.000 0.000 Ir

(6)
Sr2Bi4Pb (GGA-PBE, optimized geometry); energy of formation from the pure elements = -0.46 eV/atom; mass density = 8.12 g cm⁻³; size of the total moment = 0.00 μB/f.u.
1.0
6.053 0.001 -3.464
-2.029 5.703 -3.464
0.062 0.087 7.112
Sr Bi Pb
2 4 1
Cartesian
0.171 4.530 0.353 Sr
4.210 1.680 0.353 Sr
3.167 4.489 -4.935 Bi
1.154 1.636 -1.472 Bi
4.180 1.636 -3.203 Bi
0.140 4.487 -3.203 Bi
3.197 4.532 -1.379 Pb

(7)
PaGaAu3 (GGA-PBE, optimized geometry); energy of formation from the pure elements = -0.21 eV/atom; mass density = 14.32 g cm⁻³; size of the total moment = 0.00 μB/f.u.
1.0
3.197 0.000 0.000
0.000 4.757 0.000
0.000 -2.379 13.599
Pa Ga Au
2 2 6
Cartesian
1.599 2.379 8.861 Pa
1.599 0.000 4.738 Pa
0.000 2.379 3.408 Ga
0.000 0.000 10.191 Ga
0.000 0.000 2.010 Au
0.000 2.379 11.588 Au
0.000 0.000 7.525 Au
0.000 2.379 6.074 Au
1.599 0.000 12.263 Au
1.599 2.379 1.335 Au

(8)
K4Ce3SnS8 (GGA-PBE, optimized geometry); mass density = 3.51 g cm⁻³; formation energy (no corrections) = -1.579 eV/atom; size of the total moment = 2.01 μB/f.u.
1.0
-3.385 -3.066 -7.097
7.467 1.682 -4.288
0.295 -4.786 6.945
K Ce Sn S
4 3 1 8
Cartesian
-1.692 -1.533 -3.549 K
-1.545 -3.926 -0.076 K
0.000 0.000 0.000 K
0.148 -2.393 3.472 K
2.041 -0.692 -5.692 Ce
2.189 -3.085 -2.220 Ce
3.881 -1.552 1.328 Ce
3.733 0.841 -2.144 Sn
4.724 -4.164 1.971 S
4.581 -1.851 -1.385 S
1.457 -2.850 0.537 S
3.088 -5.645 -1.459 S
1.289 -0.525 -2.981 S
2.921 -3.320 -4.977 S
-0.203 -4.319 -3.055 S
-0.346 -2.006 -6.411 S

(9)
ReAsOsBr2 (GGA-PBE, optimized geometry); mass density = 7.90 g cm⁻³; formation energy (no corrections) = 1.608 eV/atom; size of the total moment = 5.35 μB/f.u.
1.0
5.235 0.000 0.000
0.000 5.235 0.000
0.000 0.000 4.689
Re As Os Br
1 1 1 2
Cartesian
2.618 2.618 2.345 Re
0.000 0.000 2.345 As
0.000 0.000 0.000 Os
0.000 2.618 0.000 Br
2.618 0.000 0.000 Br

(10)
Na5CdIn (GGA-PBE, optimized geometry); energy of formation from the pure elements = -0.04 eV/atom; mass density = 2.63 g cm⁻³; size of the total moment = 0.00 μB/f.u.
1.0
-0.226 6.147 1.887
-3.017 -0.825 7.748
7.619 0.931 3.301
Na Cd In
10 2 2
Cartesian
1.708 3.777 3.678 Na
5.925 4.805 7.065 Na
0.500 0.485 3.287 Na
-0.364 4.251 7.983 Na
4.601 5.556 4.196 Na
-0.225 0.698 8.739 Na
4.740 2.002 4.952 Na
3.876 5.768 9.649 Na
-1.548 1.449 5.871 Na
2.668 2.477 9.258 Na
2.595 4.740 6.746 Cd
1.782 1.514 6.190 Cd
0.000 0.000 0.000 In
-0.113 3.073 0.944 In

(11)
HoTmGe (GGA-PBE, optimized geometry); energy of formation from the pure elements = -0.51 eV/atom; mass density = 9.24 g cm⁻³; size of the total moment = 0.00 μB/f.u.
1.0
-3.503 1.862 -0.506
-2.238 -3.604 2.225
2.659 2.628 6.936
Ho Tm Ge
2 2 2
Cartesian
-3.095 0.760 3.540 Ho
1.756 1.729 4.830 Ho
-2.288 1.408 0.239 Tm
-1.709 -1.544 1.194 Tm
-1.058 1.019 6.010 Ge
-0.283 1.466 2.364 Ge

(12)
Pu2TaVN6 (GGA-PBE, optimized geometry); mass density = 11.36 g cm⁻³; formation energy (no corrections) = -0.996 eV/atom; size of the total moment = 7.95 μB/f.u.
1.0
-0.075 -0.124 -5.383
0.162 -5.666 0.128
-7.694 -0.217 0.152
Pu Ta V N
4 2 2 12
Cartesian
-1.768 -5.336 0.082 Pu
-5.712 -3.445 -2.580 Pu
-5.839 -0.670 -5.185 Pu
-1.895 -2.562 -2.523 Pu
-0.037 -0.062 -2.692 Ta
-3.766 -2.941 0.140 Ta
-3.885 -0.170 -2.616 V
0.081 -2.833 0.064 V
-0.336 -3.952 -1.549 N
-4.201 -4.818 -4.149 N
-7.271 -2.055 -3.554 N
-3.406 -1.189 -0.954 N
-3.329 -4.084 -1.547 N
-7.196 -4.856 -4.149 N
-4.279 -1.922 -3.556 N
-0.411 -1.151 -0.954 N
-1.854 -3.218 -4.695 N
-5.596 -5.654 -1.873 N
-5.753 -2.789 -0.408 N
-2.012 -0.353 -3.230 N

(13)
Pm2Pr3Y6 (GGA-PBE, optimized geometry); energy of formation from the pure elements = 0.19 eV/atom; mass density = 5.29 g cm⁻³; size of the total moment = 0.00 μB/f.u.
1.0
-1.715 5.160 3.064
-4.611 -0.260 4.215
7.134 -0.624 9.322
Pm Pr Y
2 3 6
Cartesian
0.205 0.373 7.983 Pm
0.603 3.903 8.618 Pm
0.000 0.000 0.000 Pr
-2.090 1.648 2.412 Pr
-4.237 3.252 4.866 Pr
1.539 1.514 11.060 Y
4.049 3.403 9.269 Y
3.654 -0.115 8.630 Y
1.370 1.133 3.117 Y
-0.731 2.762 5.540 Y
-2.846 4.391 7.971 Y

(14)
Cu2PbSe (GGA-PBE, optimized geometry); mass density = 8.14 g cm⁻³; formation energy (no corrections) = 0.025 eV/atom; size of the total moment = 0.00 μB/f.u.
1.0
-2.128 -3.301 0.916
0.796 -1.518 -3.622
4.308 -2.250 1.903
Cu Pb Se
2 1 1
Cartesian
0.666 -1.173 -2.681 Cu
2.681 -2.228 -1.801 Cu
0.212 -2.592 0.028 Pb
2.763 -4.476 -0.831 Se

(15)
SrTa2Ag2S7 (GGA-PBE, optimized geometry); mass density = 3.58 g cm⁻³; formation energy (no corrections) = -0.826 eV/atom; size of the total moment = 0.00 μB/f.u.
1.0
6.859 0.000 0.000
3.430 5.940 0.000
3.430 1.980 10.134
Sr Ta Ag S
1 2 2 7
Cartesian
6.859 3.960 5.067 Sr
10.289 5.940 2.325 Ta
3.430 1.980 7.809 Ta
10.289 5.940 7.268 Ag
3.430 1.980 2.865 Ag
5.567 5.812 3.078 S
5.902 1.916 3.078 S
9.109 4.153 3.078 S
5.567 2.109 7.055 S
9.109 3.767 7.055 S
0.000 0.000 0.000 S
5.902 6.005 7.055 S

(16)
HoEr2 (GGA-PBE, optimized geometry); energy of formation from the pure elements = 0.00 eV/atom; mass density = 8.95 g cm⁻³; size of the total moment = 0.00 μB/f.u.
1.0
5.917 0.000 1.856
2.744 5.799 1.611
1.379 1.002 5.963
Ho Er
2 4
Cartesian
2.900 4.600 2.855 Ho
7.140 2.202 6.575 Ho
7.758 5.267 8.068 Er
5.328 4.936 5.458 Er
4.712 1.866 3.972 Er
2.281 1.535 1.362 Er

(17)
Th7Bi2Sb2 (GGA-PBE, optimized geometry); mass density = 9.79 g cm⁻³; formation energy (no corrections) = -0.087 eV/atom; size of the total moment = 0.00 μB/f.u.
1.0
-5.199 -5.288 0.991
4.887 -4.970 -0.880
2.215 0.923 7.086
Th Bi Sb
7 2 2
Cartesian
-2.780 -6.157 4.300 Th
3.190 -5.360 6.937 Th
4.683 -3.177 2.897 Th
-1.287 -3.974 0.261 Th
0.000 0.000 0.000 Th
2.119 -5.858 3.387 Th
-0.216 -3.476 3.811 Th
0.002 -6.055 6.168 Bi
1.901 -3.279 1.029 Bi
1.714 -8.559 1.777 Sb
0.189 -0.775 5.420 Sb